! GGA-PBEsol TbInCu2, relaxed; values from VASP
&SYSTEM
  ibrav = 0, nat = 4, ntyp = 3
/
ATOMIC_SPECIES
Cu 63.55 Cu.upf
In 114.82 In.upf
Tb 158.93 Tb.upf
CELL_PARAMETERS angstrom
-1.7322 -1.5611 -3.9873
1.0583 -4.2485 -1.4719
-3.2133 -3.3182 0.0195
ATOMIC_POSITIONS crystal
Cu 0.7500 0.7500 0.7500
Cu 0.2500 0.2500 0.2500
In 0.5000 0.5000 0.5000
Tb 0.0000 0.0000 0.0000
! ΔH_f (0 K)   -350 meV per atom
! E_tot   -4.5150 eV per atom



! GGA-PBEsol LiAgF2, relaxed; values from VASP
&SYSTEM
  ibrav = 0, nat = 16, ntyp = 3
/
ATOMIC_SPECIES
Ag 107.87 Ag.upf
F 19.00 F.upf
Li 6.94 Li.upf
CELL_PARAMETERS angstrom
2.8704 0.0000 0.0000
0.0000 6.0942 0.0000
0.0000 0.0000 10.8642
ATOMIC_POSITIONS crystal
Ag 0.2663 0.7607 0.8836
Ag 0.7663 0.7393 0.1164
Ag 0.2337 0.2393 0.3836
Ag 0.7337 0.2607 0.6164
F 0.2379 0.9126 0.4470
F 0.2621 0.0874 0.9470
F 0.2600 0.4413 0.8055
F 0.2400 0.5587 0.3055
F 0.7621 0.4126 0.0530
F 0.7400 0.9413 0.6945
F 0.7379 0.5874 0.5530
F 0.7600 0.0587 0.1945
Li 0.2382 0.7828 0.6076
Li 0.7618 0.2828 0.8924
Li 0.2618 0.2172 0.1076
Li 0.7382 0.7172 0.3924
! E_tot   -4.1932 eV per atom
! Energy above the most stable polymorph in this dataset   40 meV per atom



! GGA-PBEsol CrAs2Cl, relaxed; values from VASP
&SYSTEM
  ibrav = 0, nat = 4, ntyp = 3
/
ATOMIC_SPECIES
Cr 52.00 Cr.upf
Cl 35.45 Cl.upf
As 74.92 As.upf
CELL_PARAMETERS angstrom
3.1992 0.0914 0.0000
-1.3153 2.9178 0.0000
0.0000 0.0000 8.3429
ATOMIC_POSITIONS crystal
Cr 0.5000 0.5000 0.2419
Cl 0.0000 0.0000 0.4337
As 0.5000 0.5000 0.8004
As 0.0000 0.0000 0.0240
! E_tot   -5.4506 eV per atom
! Energy above the most stable polymorph in this dataset   305 meV per atom



! GGA-PBEsol MgReSb2, relaxed; values from VASP
&SYSTEM
  ibrav = 0, nat = 4, ntyp = 3
/
ATOMIC_SPECIES
Sb 121.76 Sb.upf
Re 186.21 Re.upf
Mg 24.30 Mg.upf
CELL_PARAMETERS angstrom
-0.2948 4.5526 -1.5546
-2.5726 3.2324 2.4825
2.2380 3.5205 2.4140
ATOMIC_POSITIONS crystal
Sb 0.0000 0.0000 0.0000
Sb 0.7500 0.7500 0.7500
Re 0.2500 0.2500 0.2500
Mg 0.5000 0.5000 0.5000
! E_tot   -5.3435 eV per atom



> Which of these has the lowest E_tot?

CrAs2Cl